LiSnN | meta-GGA SCAN | single point on PBEsol structure

Cell: 10.0771 3.1895 5.5336 Å, 90.00 90.00 90.00°
Fractional coordinates of all 12 atoms:
Li 0.0911 0.2500 0.0078
Li 0.4089 0.7500 0.5078
Li 0.5911 0.2500 0.4922
Li 0.9089 0.7500 0.9922
Sn 0.1364 0.2500 0.4758
Sn 0.3636 0.7500 0.9758
Sn 0.6364 0.2500 0.0242
Sn 0.8636 0.7500 0.5242
N 0.0351 0.7500 0.2727
N 0.4649 0.2500 0.7727
N 0.5351 0.7500 0.2273
N 0.9649 0.2500 0.7273

Results
- energy above the lowest structure with this stoichiometry (meV/atom) = 70
- ρ (g cm⁻³) = 5.22
- magnetization (μB/f.u.) = 0.00
- electronic total energy (eV/atom) = -16.041
- V (Å³ per cell) = 177.9